Entry 1:
{"formula": "Dy2ScNi", "functional": "PBE", "state": "optimized geometry", "cell": [[3.535, 0.000, 0.000], [-1.767, 5.872, 0.000], [0.000, 0.000, 9.282]], "species": ["Dy", "Dy", "Dy", "Dy", "Sc", "Sc", "Ni", "Ni"], "frac_coords": [[0.365, 0.731, 0.568], [0.635, 0.269, 0.432], [0.365, 0.731, 0.932], [0.635, 0.269, 0.068], [0.918, 0.837, 0.250], [0.082, 0.163, 0.750], [0.750, 0.500, 0.750], [0.250, 0.500, 0.250]], "spacegroup": "P2_1/m (11)", "formation_enthalpy_0k_ev_per_atom": -0.206, "relative_energy_ev_per_atom": 0.035}

Entry 2:
{"formula": "DySc3Ni4", "functional": "PBE", "state": "optimized geometry", "cell": [[-4.213, 1.622, -0.396], [-3.550, -2.786, 0.423], [-2.765, 0.966, 7.432]], "species": ["Sc", "Sc", "Sc", "Ni", "Ni", "Ni", "Ni", "Dy"], "frac_coords": [[0.247, 0.247, 0.259], [0.753, 0.753, 0.741], [0.500, 0.500, 0.500], [0.873, 0.873, 0.382], [0.383, 0.383, 0.852], [0.127, 0.127, 0.618], [0.617, 0.617, 0.148], [0.000, 0.000, 0.000]], "spacegroup": "R-3m (166)", "formation_enthalpy_0k_ev_per_atom": -0.462}

Entry 3:
{"formula": "DySc2Ni", "functional": "PBE", "state": "optimized geometry", "cell": [[5.998, 0.000, 0.000], [0.000, 6.511, 0.000], [0.000, 0.000, 9.159]], "species": ["Dy", "Dy", "Dy", "Dy", "Sc", "Sc", "Sc", "Sc", "Sc", "Sc", "Sc", "Sc", "Ni", "Ni", "Ni", "Ni"], "frac_coords": [[0.629, 0.522, 0.250], [0.871, 0.022, 0.250], [0.371, 0.478, 0.750], [0.129, 0.978, 0.750], [0.179, 0.674, 0.063], [0.321, 0.174, 0.437], [0.821, 0.326, 0.563], [0.679, 0.826, 0.937], [0.821, 0.326, 0.937], [0.679, 0.826, 0.563], [0.179, 0.674, 0.437], [0.321, 0.174, 0.063], [0.071, 0.394, 0.250], [0.429, 0.894, 0.250], [0.929, 0.606, 0.750], [0.571, 0.106, 0.750]], "spacegroup": "Pnma (62)", "formation_enthalpy_0k_ev_per_atom": -0.258, "relative_energy_ev_per_atom": 0.000}

Entry 4:
{"formula": "Dy3ScNi2", "functional": "PBE", "state": "optimized geometry", "cell": [[-2.642, -0.896, 2.583], [0.419, -8.184, 0.386], [5.436, -1.575, 7.811]], "species": ["Dy", "Dy", "Dy", "Dy", "Dy", "Dy", "Sc", "Sc", "Ni", "Ni", "Ni", "Ni"], "frac_coords": [[0.156, 0.932, 0.755], [0.844, 0.068, 0.245], [0.418, 0.231, 0.933], [0.582, 0.769, 0.067], [0.581, 0.286, 0.553], [0.419, 0.714, 0.447], [0.840, 0.568, 0.752], [0.160, 0.432, 0.248], [0.233, 0.588, 0.945], [0.767, 0.412, 0.055], [0.769, 0.909, 0.553], [0.231, 0.091, 0.447]], "spacegroup": "C2/m (12)", "formation_enthalpy_0k_ev_per_atom": -0.285}

Entry 5:
{"formula": "DySc2Ni", "functional": "PBE", "state": "optimized geometry", "cell": [[4.525, -0.002, 0.000], [-2.265, 5.538, 0.000], [0.000, 0.000, 7.093]], "species": ["Dy", "Dy", "Sc", "Sc", "Sc", "Sc", "Ni", "Ni"], "frac_coords": [[0.952, 0.905, 0.250], [0.048, 0.095, 0.750], [0.343, 0.686, 0.538], [0.657, 0.314, 0.462], [0.343, 0.686, 0.962], [0.657, 0.314, 0.038], [0.801, 0.603, 0.750], [0.199, 0.397, 0.250]], "spacegroup": "Cmcm (63)", "formation_enthalpy_0k_ev_per_atom": -0.238, "relative_energy_ev_per_atom": 0.020}

Entry 6:
{"formula": "DyScNi2", "functional": "PBE", "state": "optimized geometry", "cell": [[3.287, 0.000, 0.000], [0.000, 3.287, 0.000], [0.000, 0.000, 6.494]], "species": ["Sc", "Ni", "Ni", "Dy"], "frac_coords": [[0.500, 0.500, 0.000], [0.000, 0.000, 0.775], [0.000, 0.000, 0.225], [0.500, 0.500, 0.500]], "spacegroup": "P4/mmm (123)", "formation_enthalpy_0k_ev_per_atom": -0.425, "relative_energy_ev_per_atom": 0.029}

Entry 7:
{"formula": "DySc5Ni2", "functional": "PBE", "state": "optimized geometry", "cell": [[3.527, 0.000, 0.000], [-1.764, 5.975, 0.000], [0.000, 0.000, 16.445]], "species": ["Dy", "Dy", "Sc", "Sc", "Sc", "Sc", "Sc", "Sc", "Sc", "Sc", "Sc", "Sc", "Ni", "Ni", "Ni", "Ni"], "frac_coords": [[0.644, 0.288, 0.750], [0.356, 0.712, 0.250], [0.944, 0.888, 0.898], [0.944, 0.888, 0.602], [0.345, 0.689, 0.456], [0.345, 0.689, 0.044], [0.621, 0.242, 0.250], [0.379, 0.758, 0.750], [0.655, 0.311, 0.544], [0.655, 0.311, 0.956], [0.056, 0.112, 0.102], [0.056, 0.112, 0.398], [0.740, 0.480, 0.377], [0.740, 0.480, 0.123], [0.260, 0.520, 0.623], [0.260, 0.520, 0.877]], "spacegroup": "Cmcm (63)", "formation_enthalpy_0k_ev_per_atom": -0.188}

Entry 8:
{"formula": "Dy2ScNi9", "functional": "PBE", "state": "optimized geometry", "cell": [[-2.384, -4.201, 0.837], [2.515, -4.154, 0.668], [0.306, -1.344, 8.476]], "species": ["Dy", "Dy", "Sc", "Ni", "Ni", "Ni", "Ni", "Ni", "Ni", "Ni", "Ni", "Ni"], "frac_coords": [[0.863, 0.863, 0.412], [0.137, 0.137, 0.588], [0.000, 0.000, 0.000], [0.667, 0.667, 0.000], [0.333, 0.333, 0.000], [0.500, 0.500, 0.500], [0.418, 0.418, 0.244], [0.920, 0.418, 0.244], [0.418, 0.920, 0.244], [0.582, 0.582, 0.756], [0.582, 0.080, 0.756], [0.080, 0.582, 0.756]], "spacegroup": "R-3m (166)", "formation_enthalpy_0k_ev_per_atom": -0.390}

Entry 9:
{"formula": "DyScTlNi", "functional": "PBE", "state": "optimized geometry", "cell": [[4.974, 0.000, 0.000], [2.487, 4.308, 0.000], [2.487, 1.436, 4.061]], "species": ["Sc", "Ni", "Tl", "Dy"], "frac_coords": [[0.000, 0.000, 0.000], [0.250, 0.250, 0.250], [0.750, 0.750, 0.750], [0.500, 0.500, 0.500]], "spacegroup": "F-43m (216)", "formation_enthalpy_0k_ev_per_atom": -0.242}

Entry 10:
{"formula": "DyScZnNi", "functional": "PBE", "state": "optimized geometry", "cell": [[-0.507, -4.597, 1.164], [1.126, -3.397, -3.153], [3.853, -2.722, 0.701]], "species": ["Sc", "Ni", "Zn", "Dy"], "frac_coords": [[0.000, 0.000, 0.000], [0.250, 0.250, 0.250], [0.750, 0.750, 0.750], [0.500, 0.500, 0.500]], "spacegroup": "F-43m (216)", "formation_enthalpy_0k_ev_per_atom": -0.354, "relative_energy_ev_per_atom": 0.039}

Entry 11:
{"formula": "Dy2ScZn12Ni3", "functional": "PBE", "state": "optimized geometry", "cell": [[8.002, 0.197, 0.139], [4.123, 6.861, 0.139], [4.123, 2.400, 6.429]], "species": ["Dy", "Dy", "Sc", "Zn", "Zn", "Zn", "Zn", "Zn", "Zn", "Zn", "Zn", "Zn", "Zn", "Zn", "Zn", "Ni", "Ni", "Ni"], "frac_coords": [[0.588, 0.588, 0.588], [0.412, 0.412, 0.412], [0.000, 0.000, 0.000], [0.239, 0.239, 0.855], [0.833, 0.833, 0.474], [0.474, 0.833, 0.833], [0.855, 0.239, 0.239], [0.833, 0.474, 0.833], [0.239, 0.855, 0.239], [0.761, 0.761, 0.145], [0.167, 0.167, 0.526], [0.526, 0.167, 0.167], [0.145, 0.761, 0.761], [0.167, 0.526, 0.167], [0.761, 0.145, 0.761], [0.500, 0.000, 0.000], [0.000, 0.500, 0.000], [0.000, 0.000, 0.500]], "spacegroup": "R-3m (166)", "formation_enthalpy_0k_ev_per_atom": 0.123}

Entry 12:
{"formula": "DyScZnNi", "functional": "PBE", "state": "optimized geometry", "cell": [[3.352, 0.000, 0.000], [0.000, 3.352, 0.000], [0.000, 0.000, 6.796]], "species": ["Dy", "Sc", "Zn", "Ni"], "frac_coords": [[0.500, 0.500, 0.124], [0.500, 0.500, 0.590], [0.000, 0.000, 0.830], [0.000, 0.000, 0.385]], "spacegroup": "P4mm (99)", "formation_enthalpy_0k_ev_per_atom": -0.393, "relative_energy_ev_per_atom": 0.000}

DOS(E_F) values, unit states/eV/atom, following the record order: 1.489; 0.759; 1.293; 1.259; 1.451; 1.028; 1.272; 1.246; 0.991; 0.787; 0.558; 0.945.